No. 1
A plane-wave DFT calculation with GGA-PBE was carried out for a relaxed structure of NiAg2Pb2.

Energy of formation, eV per atom: 0.330
E, Ha/atom: -0.127
Distance to the lowest polymorph of the same formula, eV/atom: 0.000

Cell: 6.9514 6.9514 4.6249 Å, 90.00 90.00 90.00°
Fractional positions:
1 Ag 0.3571 0.8571 0.0000
2 Pb 0.6747 0.8253 0.5000
3 Pb 0.3253 0.1747 0.5000
4 Ni 0.5000 0.5000 0.0000
5 Ag 0.6429 0.1429 0.0000
6 Ni 0.0000 0.0000 0.0000
7 Pb 0.1747 0.6747 0.5000
8 Ag 0.8571 0.6429 0.0000
9 Ag 0.1429 0.3571 0.0000
10 Pb 0.8253 0.3253 0.5000


No. 2
A plane-wave DFT calculation with GGA-PBE was carried out for a relaxed structure of LiDyYSc.

Energy of formation, eV per atom: 0.153
E, Ha/atom: -0.172

Cell: 5.3413 5.3413 5.3413 Å, 60.00 60.00 60.00°
Fractional positions:
1 Y 0.7500 0.7500 0.7500
2 Li 0.0000 0.0000 0.0000
3 Sc 0.5000 0.5000 0.5000
4 Dy 0.2500 0.2500 0.2500


No. 3
A plane-wave DFT calculation with GGA-PBE was carried out for a relaxed structure of Dy12Y3Sc.

Energy of formation, eV per atom: 0.027
E, Ha/atom: -0.185

Cell: 4.9987 4.9987 19.9367 Å, 90.00 90.00 90.00°
Fractional positions:
1 Y 0.0000 0.0000 0.5000
2 Dy 0.5000 0.5000 0.7531
3 Dy 0.0000 0.5000 0.8793
4 Y 0.0000 0.0000 0.7524
5 Dy 0.0000 0.5000 0.1207
6 Dy 0.5000 0.5000 0.2469
7 Sc 0.0000 0.0000 0.0000
8 Dy 0.0000 0.5000 0.3735
9 Dy 0.5000 0.0000 0.6265
10 Y 0.0000 0.0000 0.2476
11 Dy 0.5000 0.5000 0.0000
12 Dy 0.5000 0.0000 0.1207
13 Dy 0.0000 0.5000 0.6265
14 Dy 0.5000 0.0000 0.3735
15 Dy 0.5000 0.5000 0.5000
16 Dy 0.5000 0.0000 0.8793


No. 4
A plane-wave DFT calculation with GGA-PBE was carried out for a relaxed structure of PmCdPtRh.

Energy of formation, eV per atom: -0.600
E, Ha/atom: -0.197

Cell: 4.8152 4.8152 4.8152 Å, 60.00 60.00 60.00°
Fractional positions:
1 Rh 0.2500 0.2500 0.2500
2 Pm 0.0000 0.0000 0.0000
3 Cd 0.5000 0.5000 0.5000
4 Pt 0.7500 0.7500 0.7500


No. 5
A plane-wave DFT calculation with GGA-PBE was carried out for a relaxed structure of Rb2Sm2SbS6.

E, Ha/atom: -0.184
E_form (uncorrected), eV/atom: -1.35

Cell: 7.0166 7.0166 8.2434 Å, 98.30 98.30 119.63°
Fractional positions:
1 Rb 0.8310 0.1690 0.0000
2 S 0.7486 0.7486 0.6869
3 S 0.2514 0.2514 0.3131
4 Sm 0.6667 0.3333 0.5000
5 Sm 0.3333 0.6667 0.5000
6 Rb 0.1690 0.8310 0.0000
7 S 0.6181 0.9374 0.3122
8 S 0.9374 0.6181 0.3122
9 S 0.0626 0.3819 0.6878
10 Sb 0.0000 0.0000 0.5000
11 S 0.3819 0.0626 0.6878


No. 6
A plane-wave DFT calculation with GGA-PBE was carried out for a relaxed structure of Na2HS6.

E, Ha/atom: -0.128

Cell: 12.2116 18.2739 12.2116 Å, 25.03 29.50 25.03°
Fractional positions:
1 Na 0.4692 0.2805 0.6321
2 Na 0.3679 0.2195 0.5307
3 S 0.8598 0.2175 0.9463
4 S 0.0937 0.0439 0.6828
5 S 0.0377 0.0345 0.5286
6 S 0.5286 0.5345 0.0377
7 Na 0.6321 0.7805 0.4693
8 H 0.2239 0.2500 0.7761
9 S 0.0537 0.2825 0.1402
10 S 0.4714 0.4655 0.9623
11 S 0.3172 0.4561 0.9063
12 S 0.9463 0.7175 0.8598
13 S 0.6828 0.5439 0.0937
14 Na 0.5308 0.7195 0.3679
15 S 0.9623 0.9655 0.4714
16 H 0.7761 0.7500 0.2239
17 S 0.9063 0.9561 0.3172
18 S 0.1402 0.7825 0.0537


No. 7
A plane-wave DFT calculation with GGA-PBE was carried out for a relaxed structure of Zn2CuCl.

E, Ha/atom: -0.073
Distance to the lowest polymorph of the same formula, eV/atom: 0.228
E_form (uncorrected), eV/atom: 0.12

Cell: 2.9166 4.2084 5.7711 Å, 90.00 90.00 90.00°
Fractional positions:
1 Zn 0.0000 0.0000 0.0000
2 Cu 0.0000 0.5000 0.5000
3 Zn 0.5000 0.5000 0.0000
4 Cl 0.5000 0.0000 0.5000


No. 8
A plane-wave DFT calculation with GGA-PBE was carried out for a relaxed structure of LiLa3Er2S6.

E, Ha/atom: -0.229
E_form (uncorrected), eV/atom: -2.00

Cell: 6.9037 6.9037 6.9899 Å, 99.47 99.47 120.12°
Fractional positions:
1 Li 0.0000 0.0000 0.0000
2 La 0.1654 0.8346 0.5000
3 Er 0.3339 0.6661 0.0000
4 Er 0.6661 0.3339 0.0000
5 S 0.9249 0.5940 0.7740
6 S 0.5940 0.9249 0.7740
7 S 0.2548 0.2548 0.7766
8 S 0.4060 0.0751 0.2260
9 S 0.0751 0.4060 0.2260
10 La 0.5000 0.5000 0.5000
11 S 0.7452 0.7452 0.2234
12 La 0.8346 0.1654 0.5000


No. 9
A plane-wave DFT calculation with GGA-PBE was carried out for a relaxed structure of Hf4CoTc3.

Energy of formation, eV per atom: -0.482
E, Ha/atom: -0.376

Cell: 3.2449 3.2449 12.9168 Å, 90.00 90.00 90.00°
Fractional positions:
1 Hf 0.0000 0.0000 0.3728
2 Hf 0.0000 0.0000 0.6272
3 Hf 0.0000 0.0000 0.8779
4 Hf 0.0000 0.0000 0.1221
5 Co 0.5000 0.5000 0.0000
6 Tc 0.5000 0.5000 0.5000
7 Tc 0.5000 0.5000 0.2437
8 Tc 0.5000 0.5000 0.7563


No. 10
A plane-wave DFT calculation with GGA-PBE was carried out for a relaxed structure of Pm6Co2Os.

Energy of formation, eV per atom: -0.059
E, Ha/atom: -0.222

Cell: 8.3688 8.3688 8.3688 Å, 108.54 109.58 110.30°
Fractional positions:
1 Co 0.6683 0.0000 0.6683
2 Pm 0.1828 0.7386 0.9214
3 Pm 0.6849 0.3559 0.6710
4 Pm 0.3151 0.6441 0.3290
5 Pm 0.1828 0.2614 0.4442
6 Co 0.5000 0.6116 0.1116
7 Pm 0.3151 0.9861 0.6710
8 Co 0.5000 0.3884 0.8884
9 Pm 0.5649 0.7397 0.8251
10 Pm 0.8172 0.2614 0.0786
11 Os 0.0000 0.5000 0.5000
12 Pm 0.0854 0.2603 0.8251
13 Pm 0.4352 0.2603 0.1749
14 Os 0.0000 0.0000 0.0000
15 Co 0.3317 0.0000 0.3317
16 Pm 0.8172 0.7386 0.5558
17 Pm 0.9146 0.7397 0.1749
18 Pm 0.6849 0.0139 0.3290


No. 11
A plane-wave DFT calculation with GGA-PBE was carried out for a relaxed structure of Cr2Cu.

Energy of formation, eV per atom: 0.322
E, Ha/atom: -0.274

Cell: 5.0279 5.0279 6.2976 Å, 76.16 76.16 27.30°
Fractional positions:
1 Cu 0.2743 0.2743 0.9515
2 Cr 0.6686 0.6686 0.6515
3 Cu 0.9359 0.9359 0.6220
4 Cr 0.0068 0.0068 0.9930
5 Cr 0.6064 0.6064 0.2951
6 Cr 0.3414 0.3414 0.3202


No. 12
A plane-wave DFT calculation with GGA-PBE was carried out for a relaxed structure of NaLuAgBi.

Energy of formation, eV per atom: -0.315
E, Ha/atom: -0.127

Cell: 5.2332 5.2332 5.2332 Å, 60.00 60.00 60.00°
Fractional positions:
1 Ag 0.7500 0.7500 0.7500
2 Bi 0.2500 0.2500 0.2500
3 Na 0.5000 0.5000 0.5000
4 Lu 0.0000 0.0000 0.0000